DFT (PBE) results for a relaxed NaLa2FeC crystal.

```
data_NaLa2FeC
_chemical_formula_sum 'Na1 La2 Fe1 C1'
_cell_length_a 5.430
_cell_length_b 5.430
_cell_length_c 3.752
_cell_angle_alpha 90.00
_cell_angle_beta 90.00
_cell_angle_gamma 90.00
_space_group_name_H-M_alt 'P 4/m m m'
_space_group_IT_number 123
_space_group_name_Hall '-P 4 2'
loop_
_atom_site_label
_atom_site_fract_x
_atom_site_fract_y
_atom_site_fract_z
_atom_site_occupancy
Na1 0.000 0.000 0.000 1
La1 0.000 0.500 0.500 1
Fe1 0.500 0.500 0.000 1
C1 0.500 0.500 0.500 1
```

Output
calculated volume = 111 Å³/cell
total magnetic moment = 0.001 μB/f.u.
density of states at the Fermi level = 4.01 states/eV/f.u.
electronic total energy = -28.4 eV/cell

DFT (PBE) results for a relaxed LaNdFeC crystal.

```
data_LaNdFeC
_chemical_formula_sum 'La2 Nd2 Fe2 C2'
_cell_length_a 3.787
_cell_length_b 3.787
_cell_length_c 11.319
_cell_angle_alpha 90.00
_cell_angle_beta 90.00
_cell_angle_gamma 90.00
_space_group_name_H-M_alt 'P 4/n m m'
_space_group_IT_number 129
loop_
_space_group_symop_operation_xyz
'x,y,z'
'-x,-y,-z'
'-y+1/2,x,z'
'y+1/2,-x,-z'
'-x+1/2,-y+1/2,z'
'x+1/2,y+1/2,-z'
'y,-x+1/2,z'
'-y,x+1/2,-z'
'x+1/2,-y,-z'
'-x+1/2,y,z'
'-y,-x,-z'
'y,x,z'
'-x,y+1/2,-z'
'x,-y+1/2,z'
'y+1/2,x+1/2,-z'
'-y+1/2,-x+1/2,z'
loop_
_atom_site_label
_atom_site_fract_x
_atom_site_fract_y
_atom_site_fract_z
_atom_site_occupancy
La1 0.250 0.750 0.000 1
Nd1 0.250 0.250 0.306 1
Fe1 0.250 0.750 0.500 1
C1 0.250 0.250 0.571 1
```

Output
calculated volume = 162 Å³/cell
total magnetic moment = 0.000 μB/f.u.
density of states at the Fermi level = 4.15 states/eV/f.u.
electronic total energy = -51.5 eV/cell

DFT (PBE) results for a relaxed La2FeNiC crystal.

```
data_La2FeNiC
_chemical_formula_sum 'La2 Fe1 Ni1 C1'
_cell_length_a 5.242
_cell_length_b 5.242
_cell_length_c 3.643
_cell_angle_alpha 90.00
_cell_angle_beta 90.00
_cell_angle_gamma 90.00
_space_group_name_H-M_alt 'P 4/m m m'
_space_group_IT_number 123
_space_group_name_Hall '-P 4 2'
loop_
_atom_site_label
_atom_site_fract_x
_atom_site_fract_y
_atom_site_fract_z
_atom_site_occupancy
La1 0.000 0.500 0.000 1
Fe1 0.000 0.000 0.500 1
Ni1 0.500 0.500 0.500 1
C1 0.000 0.000 0.000 1
```

Output
calculated volume = 100 Å³/cell
total magnetic moment = 0.306 μB/f.u.
density of states at the Fermi level = 4.26 states/eV/f.u.
electronic total energy = -33.8 eV/cell

DFT (PBE) results for a relaxed LaNpFeC3 crystal.

```
data_LaNpFeC3
_chemical_formula_sum 'La2 Np2 Fe2 C6'
_cell_length_a 7.317
_cell_length_b 3.518
_cell_length_c 7.531
_cell_angle_alpha 90.00
_cell_angle_beta 98.77
_cell_angle_gamma 90.00
_space_group_name_H-M_alt 'P 1 21/m 1'
_space_group_IT_number 11
loop_
_space_group_symop_operation_xyz
'x,y,z'
'-x,-y,-z'
'-x,y+1/2,-z'
'x,-y+1/2,z'
loop_
_atom_site_label
_atom_site_fract_x
_atom_site_fract_y
_atom_site_fract_z
_atom_site_occupancy
La1 0.167 0.250 0.197 1
Np1 0.354 0.750 0.827 1
Fe1 0.085 0.250 0.591 1
C1 0.145 0.250 0.845 1
C2 0.154 0.750 0.538 1
C3 0.436 0.750 0.128 1
```

Output
calculated volume = 192 Å³/cell
total magnetic moment = 1.871 μB/f.u.
density of states at the Fermi level = 7.44 states/eV/f.u.
electronic total energy = -106.5 eV/cell

DFT (PBE) results for a relaxed La2FePbC crystal.

```
data_La2FePbC
_chemical_formula_sum 'La2 Fe1 Pb1 C1'
_cell_length_a 5.538
_cell_length_b 5.538
_cell_length_c 3.775
_cell_angle_alpha 90.00
_cell_angle_beta 90.00
_cell_angle_gamma 90.00
_space_group_name_H-M_alt 'P 4/m m m'
_space_group_IT_number 123
_space_group_name_Hall '-P 4 2'
loop_
_atom_site_label
_atom_site_fract_x
_atom_site_fract_y
_atom_site_fract_z
_atom_site_occupancy
La1 0.000 0.500 0.000 1
Fe1 0.000 0.000 0.500 1
Pb1 0.500 0.500 0.500 1
C1 0.000 0.000 0.000 1
```

Output
calculated volume = 116 Å³/cell
total magnetic moment = 1.161 μB/f.u.
density of states at the Fermi level = 4.11 states/eV/f.u.
electronic total energy = -32.3 eV/cell

DFT (PBE) results for a relaxed LaPmFeC crystal.

```
data_LaPmFeC
_chemical_formula_sum 'La2 Pm2 Fe2 C2'
_cell_length_a 3.783
_cell_length_b 3.783
_cell_length_c 11.235
_cell_angle_alpha 90.00
_cell_angle_beta 90.00
_cell_angle_gamma 90.00
_space_group_name_H-M_alt 'P 4/n m m'
_space_group_IT_number 129
loop_
_space_group_symop_operation_xyz
'x,y,z'
'-x,-y,-z'
'-y+1/2,x,z'
'y+1/2,-x,-z'
'-x+1/2,-y+1/2,z'
'x+1/2,y+1/2,-z'
'y,-x+1/2,z'
'-y,x+1/2,-z'
'x+1/2,-y,-z'
'-x+1/2,y,z'
'-y,-x,-z'
'y,x,z'
'-x,y+1/2,-z'
'x,-y+1/2,z'
'y+1/2,x+1/2,-z'
'-y+1/2,-x+1/2,z'
loop_
_atom_site_label
_atom_site_fract_x
_atom_site_fract_y
_atom_site_fract_z
_atom_site_occupancy
La1 0.250 0.750 0.000 1
Pm1 0.250 0.250 0.307 1
Fe1 0.250 0.750 0.500 1
C1 0.250 0.250 0.572 1
```

Output
calculated volume = 161 Å³/cell
total magnetic moment = 0.000 μB/f.u.
density of states at the Fermi level = 4.15 states/eV/f.u.
electronic total energy = -51.4 eV/cell